# 1
# BPt

A geometry-optimized BPt structure (PBE, OQMD via LeMat-Bulk).

CIF file:
```
data_BPt
_symmetry_space_group_name_H-M 'P 63/m m c'
_symmetry_Int_Tables_number 194
_symmetry_space_group_name_Hall '-P 6c 2c'
_cell_length_a 3.7491
_cell_length_b 3.7491
_cell_length_c 3.6603
_cell_angle_alpha 90.00
_cell_angle_beta 90.00
_cell_angle_gamma 120.00
loop_
_atom_site_label
_atom_site_fract_x
_atom_site_fract_y
_atom_site_fract_z
B1 0.0000 0.0000 0.0000
Pt1 0.3333 0.6667 0.2500
```

Results
- total DFT energy (no corrections) (eV/atom) = -6.302



# 2
# BaSbAu

A geometry-optimized BaSbAu structure (PBE, OQMD via LeMat-Bulk).

CIF file:
```
data_BaSbAu
_symmetry_space_group_name_H-M 'P -6 2 m'
_symmetry_Int_Tables_number 189
_symmetry_space_group_name_Hall 'P -6 -2'
_cell_length_a 8.1237
_cell_length_b 8.1237
_cell_length_c 4.7741
_cell_angle_alpha 90.00
_cell_angle_beta 90.00
_cell_angle_gamma 120.00
loop_
_atom_site_label
_atom_site_fract_x
_atom_site_fract_y
_atom_site_fract_z
Ba1 0.0000 0.6110 0.0000
Sb1 0.0000 0.2777 0.5000
Au1 0.0000 0.0000 0.0000
Au2 0.3333 0.6667 0.5000
```

Results
- total DFT energy (no corrections) (eV/atom) = -3.788



# 3
# Na5NbO5

A geometry-optimized Na5NbO5 structure (PBE, OQMD via LeMat-Bulk).

CIF file:
```
data_Na5NbO5
_symmetry_space_group_name_H-M 'C 1 2/c 1'
_symmetry_Int_Tables_number 15
_cell_length_a 6.2566
_cell_length_b 10.1659
_cell_length_c 9.9880
_cell_angle_alpha 90.00
_cell_angle_beta 106.72
_cell_angle_gamma 90.00
loop_
_symmetry_equiv_pos_as_xyz
'x,y,z'
'-x,-y,-z'
'-x,y,-z+1/2'
'x,-y,z+1/2'
'x+1/2,y+1/2,z'
'-x+1/2,-y+1/2,-z'
'-x+1/2,y+1/2,-z+1/2'
'x+1/2,-y+1/2,z+1/2'
loop_
_atom_site_label
_atom_site_fract_x
_atom_site_fract_y
_atom_site_fract_z
Na1 0.0000 0.1688 0.2500
Na2 0.1685 0.3426 0.0797
Na3 0.1704 0.1145 0.5497
Nb1 0.0000 0.4079 0.7500
O1 0.0000 0.4038 0.2500
O2 0.1328 0.3282 0.6165
O3 0.1989 0.1071 0.1029
```

Results
- total DFT energy (no corrections) (eV/atom) = -5.686



# 4
# SrIn2Au

A geometry-optimized SrIn2Au structure (PBE, OQMD via LeMat-Bulk).

CIF file:
```
data_SrIn2Au
_symmetry_space_group_name_H-M 'F -4 3 m'
_symmetry_Int_Tables_number 216
_symmetry_space_group_name_Hall 'F -4 2 3'
_cell_length_a 7.4245
_cell_length_b 7.4245
_cell_length_c 7.4245
_cell_angle_alpha 90.00
_cell_angle_beta 90.00
_cell_angle_gamma 90.00
loop_
_atom_site_label
_atom_site_fract_x
_atom_site_fract_y
_atom_site_fract_z
Sr1 0.0000 0.0000 0.0000
In1 0.0000 0.0000 0.5000
In2 0.2500 0.2500 0.7500
Au1 0.2500 0.2500 0.2500
```

Results
- total DFT energy (no corrections) (eV/atom) = -2.988